1.
## TaAlCo (PBE-GGA)

Data for TaAlCo after structural relaxation.

Cell and atoms, written as CIF:
```
data_TaAlCo
_chemical_formula_sum 'Ta4 Al4 Co4'
_cell_length_a 5.947
_cell_length_b 5.947
_cell_length_c 5.947
_cell_angle_alpha 90.00
_cell_angle_beta 90.00
_cell_angle_gamma 90.00
_space_group_name_H-M_alt 'F -4 3 m'
_space_group_IT_number 216
_space_group_name_Hall 'F -4 2 3'
loop_
_atom_site_label
_atom_site_fract_x
_atom_site_fract_y
_atom_site_fract_z
Ta1 0.000 0.000 0.000
Al1 0.250 0.250 0.750
Co1 0.250 0.250 0.250
```

Output
Its theoretical density is 8.43 g/cm3. As for the raw total energy: -83.9 eV for the cell shown. The spin magnetization is 0.01 μB per formula unit. The value obtained for the density of states at the Fermi level is 3.74 states/eV/f.u.

---

2.
## FeCoAs2Br (PBE-GGA)

Data for FeCoAs2Br after structural relaxation.

Cell and atoms, written as CIF:
```
data_FeCoAs2Br
_chemical_formula_sum 'Fe1 Co1 As2 Br1'
_cell_length_a 4.474
_cell_length_b 4.474
_cell_length_c 5.160
_cell_angle_alpha 90.00
_cell_angle_beta 90.00
_cell_angle_gamma 90.00
_space_group_name_H-M_alt 'P 4/m m m'
_space_group_IT_number 123
_space_group_name_Hall '-P 4 2'
loop_
_atom_site_label
_atom_site_fract_x
_atom_site_fract_y
_atom_site_fract_z
Fe1 0.000 0.000 0.000
Co1 0.500 0.500 0.500
As1 0.000 0.500 0.500
Br1 0.500 0.500 0.000
```

Output
Its theoretical density is 5.54 g/cm3. The calculation puts the energy above the lowest structure with this stoichiometry at 0 meV per atom. The calculation puts the uncorrected formation energy at 718 meV/atom. As for the raw total energy: -22.9 eV for the cell shown. The spin magnetization is 2.52 μB per formula unit. The value obtained for the density of states at the Fermi level is 6.40 states/eV/f.u.

---

3.
## CsTlInCl6 (PBE-GGA)

Data for CsTlInCl6 after structural relaxation.

Cell and atoms, written as CIF:
```
data_CsTlInCl6
_chemical_formula_sum 'Cs1 Tl1 In1 Cl6'
_cell_length_a 7.1862
_cell_length_b 7.1862
_cell_length_c 7.5554
_cell_angle_alpha 90.00
_cell_angle_beta 90.00
_cell_angle_gamma 120.00
_space_group_name_H-M_alt 'P 3 1 2'
_space_group_IT_number 149
loop_
_space_group_symop_operation_xyz
'x,y,z'
'-y,x-y,z'
'-x+y,-x,z'
'-y,-x,-z'
'-x+y,y,-z'
'x,x-y,-z'
loop_
_atom_site_label
_atom_site_fract_x
_atom_site_fract_y
_atom_site_fract_z
Cs1 0.0000 0.0000 0.0000
Tl1 0.3333 0.6667 0.5000
In1 0.6667 0.3333 0.5000
Cl1 0.3934 0.0332 0.7011
```

Output
Its theoretical density is 3.27 g/cm3. The calculation puts the uncorrected formation energy at -1183 meV/atom. As for the raw total energy: -27.7 eV for the cell shown. The spin magnetization is 0.03 μB per formula unit. The value obtained for the density of states at the Fermi level is 6.57 states/eV/f.u.